# 1
Tb3DyRh2: optimized geometry, PBE-GGA.

Structure (POSCAR):
```
Tb3DyRh2
1.0
-3.6144 0.7127 -2.9836
-3.0518 -6.0695 2.2471
-4.2346 4.4192 6.1855
Rh Tb Dy
4 6 2
direct
0.5000 0.2421 0.1628
0.0000 0.7579 0.3382
0.0000 0.2579 0.6618
0.5000 0.7421 0.8372
0.5000 0.6410 0.1665
0.0000 0.9888 0.0854
0.0000 0.4888 0.9146
0.0000 0.3589 0.3344
0.0000 0.8589 0.6656
0.5000 0.1410 0.8335
0.5000 0.5113 0.5852
0.5000 0.0113 0.4148
```

magnetization	0.000	μB per atom
polymorph energy (0 for the lowest one)	0	meV per atom
volume	24.60	Å³/atom
symmetry	Pmc2_1
uncorrected energy	-6.18	eV/atom



# 2
Tb4DyRh5: optimized geometry, PBE-GGA.

Structure (POSCAR):
```
Tb4DyRh5
1.0
3.4663 0.0000 0.0000
0.0000 3.4663 0.0000
0.0000 0.0000 16.9155
Rh Dy Tb
5 1 4
direct
0.5000 0.5000 0.2996
0.5000 0.5000 0.0992
0.5000 0.5000 0.7004
0.5000 0.5000 0.9008
0.5000 0.5000 0.5000
0.0000 0.0000 0.0000
0.0000 0.0000 0.3998
0.0000 0.0000 0.1996
0.0000 0.0000 0.6002
0.0000 0.0000 0.8004
```

magnetization	0.000	μB per atom
volume	20.32	Å³/atom
symmetry	P4/mmm
uncorrected energy	-6.83	eV/atom



# 3
Tb2DyRh: optimized geometry, PBE-GGA.

Structure (POSCAR):
```
Tb2DyRh
1.0
-3.2481 2.3882 -4.8341
3.6352 -4.2148 -4.5248
-6.5991 -6.8296 1.0600
Tb Dy Rh
8 4 4
direct
0.1709 0.6777 0.4362
0.3291 0.1777 0.0638
0.1709 0.6777 0.0638
0.3291 0.1777 0.4362
0.6709 0.8223 0.9362
0.8291 0.3223 0.9362
0.6709 0.8223 0.5638
0.8291 0.3223 0.5638
0.3605 0.4647 0.7500
0.1395 0.9647 0.7500
0.6395 0.5353 0.2500
0.8605 0.0353 0.2500
0.9427 0.6184 0.7500
0.0573 0.3816 0.2500
0.4427 0.8816 0.2500
0.5573 0.1184 0.7500
```

magnetization	0.000	μB per atom
polymorph energy (0 for the lowest one)	0	meV per atom
volume	26.97	Å³/atom
symmetry	Pnma
uncorrected energy	-5.82	eV/atom